BeMoF5: optimized geometry, PBE with a Hubbard U.

Cell: 5.435 5.435 7.942 Å, 68.42 68.42 87.73°
Fractional positions:
F: 0.692 0.685 0.660
F: 0.257 0.731 0.914
F: 0.909 0.091 0.750
F: 0.091 0.909 0.250
F: 0.685 0.692 0.160
F: 0.315 0.308 0.840
F: 0.743 0.269 0.086
F: 0.269 0.743 0.586
F: 0.731 0.257 0.414
F: 0.308 0.315 0.340
Be: 0.616 0.384 0.250
Be: 0.384 0.616 0.750
Mo: 0.000 0.000 0.000
Mo: 0.000 0.000 0.500

Calculated volume (Å³/atom): 14.40
Final energy (eV/f.u.): -40.3
Symmetry: No. 15